[1]
First-principles (GGA-PBEsol) data for a relaxed LaMg2Sc crystal, as listed in the Alexandria database.

Unit cell a=11.2314 b=3.4754 c=5.5339 alpha=90.00 beta=104.00 gamma=90.00
Space group C2/m (No. 12)
Symmetry-distinct sites (fractional):
La 0.0000 0.0000 0.0000 x2
Mg 0.2388 0.0000 0.7287 x4
Sc 0.0000 0.5000 0.5000 x2

Calculated values
E_form (meV per atom): 43.6

***

[2]
First-principles (GGA-PBEsol) data for a relaxed BaHgAu2 crystal, as listed in the Alexandria database.

Unit cell a=8.2969 b=4.8449 c=5.9445 alpha=90.00 beta=118.14 gamma=90.00
Space group C2/m (No. 12)
Symmetry-distinct sites (fractional):
Ba 0.0000 0.0000 0.0000 x2
Hg 0.0000 0.5000 0.5000 x2
Au 0.2078 0.0000 0.6272 x4

Calculated values
E_form (meV per atom): -475.9

***

[3]
First-principles (GGA-PBEsol) data for a relaxed FeNiS2 crystal, as listed in the Alexandria database.

Unit cell a=3.1065 b=3.1065 c=20.4307 alpha=90.00 beta=90.00 gamma=120.00
Space group R-3m (No. 166, hexagonal axes)
Symmetry-distinct sites (fractional):
Fe 0.0000 0.0000 0.0000 x3
Ni 0.0000 0.0000 0.5000 x3
S 0.0000 0.0000 0.3978 x6

Calculated values
ΔE_f (raw) (eV per atom): -0.228

***

[4]
First-principles (GGA-PBEsol) data for a relaxed Zr2InSi crystal, as listed in the Alexandria database.

Unit cell a=3.5293 b=3.5293 c=6.2379 alpha=90.00 beta=90.00 gamma=90.00
Space group P4/mmm (No. 123)
Symmetry-distinct sites (fractional):
Zr 0.0000 0.0000 0.2250 x2
In 0.5000 0.5000 0.5000 x1
Si 0.5000 0.5000 0.0000 x1

Calculated values
ΔE_f (raw) (eV per atom): -0.402

***

[5]
First-principles (GGA-PBEsol) data for a relaxed TlFeP2 crystal, as listed in the Alexandria database.

Unit cell a=3.3491 b=3.9911 c=4.9068 alpha=90.00 beta=90.00 gamma=90.00
Space group Pmmm (No. 47)
Symmetry-distinct sites (fractional):
Tl 0.0000 0.0000 0.0000 x1
Fe 0.5000 0.5000 0.0000 x1
P 0.0000 0.5000 0.5000 x1
P 0.5000 0.0000 0.5000 x1

Calculated values
E_form (meV per atom): 730.2
E above lowest polymorph (meV/atom): 748

***

[6]
First-principles (GGA-PBEsol) data for a relaxed ZrTcSb2 crystal, as listed in the Alexandria database.

Unit cell a=6.7544 b=6.7544 c=6.7544 alpha=90.00 beta=90.00 gamma=90.00
Space group Fm-3m (No. 225)
Symmetry-distinct sites (fractional):
Zr 0.0000 0.0000 0.0000 x4
Tc 0.0000 0.0000 0.5000 x4
Sb 0.2500 0.2500 0.2500 x8

Calculated values
ΔE_f (raw) (eV per atom): -0.123
E above lowest polymorph (meV/atom): 88

***

[7]
First-principles (GGA-PBEsol) data for a relaxed YC7 crystal, as listed in the Alexandria database.

Unit cell a=6.6941 b=6.6941 c=6.6941 alpha=90.00 beta=90.00 gamma=90.00
Space group Fm-3m (No. 225)
Symmetry-distinct sites (fractional):
Y 0.0000 0.0000 0.0000 x4
C 0.0000 0.0000 0.5000 x4
C 0.0000 0.2500 0.2500 x24

Calculated values
E_form (meV per atom): 3461.5

***

[8]
First-principles (GGA-PBEsol) data for a relaxed AlFeIr2 crystal, as listed in the Alexandria database.

Unit cell a=2.7043 b=2.7043 c=25.0630 alpha=90.00 beta=90.00 gamma=120.00
Space group R3m (No. 160, hexagonal axes)
Symmetry-distinct sites (fractional):
Al 0.0000 0.0000 0.0000 x3
Fe 0.0000 0.0000 0.7462 x3
Ir 0.0000 0.0000 0.2507 x3
Ir 0.0000 0.0000 0.4928 x3

Calculated values
E_form (meV per atom): -191.6

***

Looking at D(E_F) for the records above, in order, we have 4.30 1.24 4.47 3.67 4.03 4.68 3.27 2.32 states/eV/f.u..